VASP calculation (PBE) on NaReS2N after structural relaxation.

Summary:
Energy relative to the elements, uncorrected, meV/atom: 2347.2

Geometry as extended XYZ:
```
5
Lattice="4.644 0.000 0.000 0.000 4.644 0.000 0.000 0.000 3.800" Properties=species:S:1:pos:R:3 pbc="T T T"
Re 2.322 2.322 1.900
S 0.000 2.322 0.000
N 0.000 0.000 1.900
Na 0.000 0.000 0.000
S 2.322 0.000 0.000
```



VASP calculation (PBE) on Li5Mg2Zn after structural relaxation.

Summary:
Calculated formation energy, kJ per mole of atoms: -7

Geometry as extended XYZ:
```
8
Lattice="4.629 0.000 0.000 0.000 4.629 0.000 -2.315 -2.315 6.835" Properties=species:S:1:pos:R:3 pbc="T T T"
Li 0.000 2.315 5.299
Mg 0.000 0.000 3.358
Mg 2.315 2.315 3.476
Li 2.315 0.000 1.535
Zn 0.000 0.000 0.000
Li 0.000 2.315 1.535
Li 2.315 0.000 5.299
Li 2.315 2.315 0.000
```



VASP calculation (PBE) on ErPaPd2 after structural relaxation.

Summary:
Calculated formation energy, kJ per mole of atoms: -59

Geometry as extended XYZ:
```
4
Lattice="3.372 0.000 0.000 0.000 3.372 0.000 0.000 0.000 7.456" Properties=species:S:1:pos:R:3 pbc="T T T"
Pd 0.000 0.000 5.511
Pd 0.000 0.000 1.945
Er 1.686 1.686 3.728
Pa 1.686 1.686 0.000
```



Across the entries above, energy above the most stable polymorph in this dataset takes the values 2502, 0, 0 meV per atom, respectively.
Across the entries above, size of the total moment takes the values 0.0, 0.0, 1.1 μB/cell, respectively.